Version w
Compound: Tm6PuSc
Source: the Alexandria database
Functional: PBE-GGA
Structure: relaxed

Geometry as POSCAR:
```
Tm6PuSc
1.0
-4.672 1.821 -2.295
3.410 1.231 -5.962
-2.966 -6.218 1.103
Tm Pu Sc
6 1 1
direct
0.000 0.831 0.168
0.000 0.338 0.168
0.000 0.334 0.669
0.500 0.668 0.830
0.500 0.162 0.830
0.500 0.167 0.334
0.000 0.831 0.662
0.500 0.669 0.339
```

Summary:
* D(E_F): 18.103 states/eV per cell
* total magnetic moment: 6.94 μB/cell
* SG: Amm2, No. 38

Version x
Compound: Tm6PuSc
Source: the Alexandria database
Functional: PBE-GGA
Structure: relaxed

Geometry as POSCAR:
```
Tm6PuSc
1.0
-6.665 -1.287 -0.195
-2.992 -2.342 5.541
-2.622 4.394 4.515
Tm Pu Sc
6 1 1
direct
0.750 0.480 0.566
0.750 0.046 0.434
0.250 0.954 0.566
0.250 0.520 0.434
0.749 0.743 0.000
0.251 0.257 0.000
0.500 0.500 0.000
0.000 0.000 0.000
```

Summary:
* D(E_F): 11.209 states/eV per cell
* total magnetic moment: 7.69 μB/cell
* SG: C2/m, No. 12

Which is most stable, and by how much? version w, by 0.329 eV/atom.